Density functional theory data (PBE-GGA) for Nb2Ni15Pd2 after structural relaxation.

Lattice parameters (Å, degrees): 8.2168 8.2168 11.9817 90.00 90.00 120.00
With the nearest neighbours (Å) after each atom.
Space group R-3m (No. 166, hexagonal axes)
Asymmetric unit:
Nb (0.0000, 0.0000, 0.1480) (multiplicity 6)  12 Ni 2.81-2.95, 1 Pd 2.91
Ni (0.0000, 0.3191, 0.5000) (multiplicity 18)  8 Ni 2.39-2.62
Ni (0.0000, 0.5000, 0.0000) (multiplicity 9)  8 Ni 2.39-2.42, 2 Pd 2.47
Ni (0.0134, 0.5067, 0.6586) (multiplicity 18)  8 Ni 2.29-2.48
Pd (0.0000, 0.0000, 0.3908) (multiplicity 6)  6 Ni 2.47-2.59, 1 Pd 2.62

E   -352.4 eV per cell
Density of states at the Fermi level   1.18 states/eV/atom
M_tot   4.345 μB/f.u.
Crystal system   trigonal
Energy relative to the elements   -0.011 eV/atom

Density functional theory data (PBE-GGA) for Na2ScPbF8 after structural relaxation.

Lattice parameters (Å, degrees): 3.8027 7.5755 5.5311 90.00 90.17 90.00
With the nearest neighbours (Å) after each atom.
Space group P2/m (No. 10)
Asymmetric unit:
Na (0.0000, 0.2318, 0.0000) (multiplicity 2)  8 F 2.36-2.49
Sc (0.5000, 0.0000, 0.5000) (multiplicity 1)  8 F 2.15-2.25
Pb (0.5000, 0.5000, 0.5000) (multiplicity 1)  8 F 2.32-2.41
F (0.9997, 0.5000, 0.2602) (multiplicity 2)  2 Pb 2.32, 2 Na 2.49
F (0.0023, 0.0000, 0.2845) (multiplicity 2)  2 Sc 2.23-2.25, 2 Na 2.36, 1 F 2.38
F (0.4982, 0.2299, 0.7288) (multiplicity 4)  1 Sc 2.15, 1 Pb 2.41

E   -62.5 eV per cell
Density of states at the Fermi level   0.11 states/eV/atom
M_tot   0.000 μB/f.u.
Crystal system   monoclinic
Uncorrected formation energy   -2902 meV/atom

Density functional theory data (PBE-GGA) for PrYThAl after structural relaxation.

Lattice parameters (Å, degrees): 7.7367 7.7367 7.7367 90.00 90.00 90.00
With the nearest neighbours (Å) after each atom.
Space group F-43m (No. 216)
Asymmetric unit:
Pr (0.0000, 0.0000, 0.0000) (multiplicity 4)  4 Al 3.35, 4 Y 3.35
Y (0.2500, 0.2500, 0.2500) (multiplicity 4)  4 Th 3.35, 4 Pr 3.35
Th (0.0000, 0.0000, 0.5000) (multiplicity 4)  4 Y 3.35, 4 Al 3.35
Al (0.2500, 0.2500, 0.7500) (multiplicity 4)  4 Th 3.35, 4 Pr 3.35

E   -89.4 eV per cell
Density of states at the Fermi level   1.03 states/eV/atom
M_tot   0.000 μB/f.u.
Crystal system   cubic
Energy relative to the elements   0.014 eV/atom

What is the formula in the second record?
Na2ScPbF8

Which of these has the lowest E?
Nb2Ni15Pd2